[1]
18
Lattice="-4.411 4.411 7.692 4.411 -4.411 7.692 4.411 4.411 -7.692" Properties=species:S:1:pos:R:3 comment="LaTb5Sm2Tm (PBE, optimized geometry)" e_form_kcal_per_mol_atoms=6.29 vol_a3_per_atom=33.262 pbc="T T T"
La 0.000 0.000 3.846
La 0.000 0.000 11.539
Tb 0.000 0.000 0.000
Tb 6.242 1.831 -2.082
Tb 1.831 2.580 -2.082
Tb 6.242 1.831 2.082
Tb 1.831 2.580 2.082
Tb 0.000 0.000 7.692
Tb 2.580 1.831 5.611
Tb -1.831 2.580 5.611
Tb 2.580 1.831 9.774
Tb -1.831 2.580 9.774
Sm 3.387 1.024 0.000
Sm 3.387 -1.024 7.692
Sm 1.024 5.435 0.000
Sm 1.024 3.387 7.692
Tm 4.411 0.000 3.846
Tm 0.000 4.411 3.846


[2]
16
Lattice="6.421 0.000 0.000 0.000 6.421 0.000 0.000 0.000 6.421" Properties=species:S:1:pos:R:3 comment="UVGaMo (PBE, optimized geometry)" e_form_kcal_per_mol_atoms=1.80 vol_a3_per_atom=16.549 pbc="T T T"
U 0.000 0.000 0.000
U 0.000 3.211 3.211
U 3.211 0.000 3.211
U 3.211 3.211 0.000
V 1.605 1.605 1.605
V 1.605 4.816 4.816
V 4.816 1.605 4.816
V 4.816 4.816 1.605
Ga 0.000 0.000 3.211
Ga 0.000 3.211 0.000
Ga 3.211 0.000 0.000
Ga 3.211 3.211 3.211
Mo 1.605 1.605 4.816
Mo 1.605 4.816 1.605
Mo 4.816 1.605 1.605
Mo 4.816 4.816 4.816


[3]
5
Lattice="4.161 0.000 0.000 0.000 4.161 0.000 0.000 0.000 3.895" Properties=species:S:1:pos:R:3 comment="Ta2ZnReH (PBE, optimized geometry)" polymorph_energy_mev_per_atom=0 vol_a3_per_atom=13.490 pbc="T T T"
Ta 0.000 2.081 0.000
Ta 2.081 0.000 0.000
Zn 0.000 0.000 1.948
Re 2.081 2.081 1.948
H 2.081 2.081 0.000


[4]
12
Lattice="4.920 0.000 0.000 0.000 4.920 0.000 0.000 0.000 15.047" Properties=species:S:1:pos:R:3 comment="Dy9Tm2Tl (PBE, optimized geometry)" e_form_kcal_per_mol_atoms=-0.99 vol_a3_per_atom=30.354 pbc="T T T"
Dy 0.000 0.000 0.000
Dy 0.000 0.000 4.959
Dy 0.000 0.000 10.088
Dy 0.000 2.460 2.466
Dy 0.000 2.460 7.524
Dy 0.000 2.460 12.581
Dy 2.460 0.000 2.466
Dy 2.460 0.000 7.524
Dy 2.460 0.000 12.581
Tm 2.460 2.460 5.012
Tm 2.460 2.460 10.035
Tl 2.460 2.460 0.000


[5]
11
Lattice="9.802 -2.921 0.000 9.802 2.921 0.000 -0.581 0.000 6.290" Properties=species:S:1:pos:R:3 comment="Tb2Pm4Dy5 (PBE, optimized geometry)" polymorph_energy_mev_per_atom=14 e_form_kcal_per_mol_atoms=2.49 vol_a3_per_atom=32.747 pbc="T T T"
Tb 1.905 0.000 0.263
Tb 17.117 0.000 6.027
Pm 3.470 0.000 3.588
Pm 8.978 0.000 1.415
Pm 10.044 0.000 4.876
Pm 15.552 0.000 2.703
Dy -0.291 0.000 3.145
Dy 5.559 0.000 0.663
Dy 6.887 0.000 4.059
Dy 12.135 0.000 2.231
Dy 13.464 0.000 5.627


[6]
12
Lattice="2.864 0.000 0.000 -1.432 2.480 0.000 0.000 0.000 21.314" Properties=species:S:1:pos:R:3 comment="Tc2BIr (PBE, optimized geometry)" e_form_kcal_per_mol_atoms=-2.42 vol_a3_per_atom=12.616 pbc="T T T"
Tc 0.000 0.000 0.000
Tc 0.000 0.000 4.394
Tc 0.000 1.653 14.209
Tc 0.000 1.653 18.603
Tc 1.432 0.827 7.105
Tc 1.432 0.827 11.498
B 0.000 0.000 12.868
B 0.000 1.653 5.763
B 1.432 0.827 19.972
Ir 0.000 0.000 16.356
Ir 0.000 1.653 9.251
Ir 1.432 0.827 2.147


[7]
16
Lattice="6.817 0.000 0.000 0.000 6.817 0.000 0.000 0.000 6.817" Properties=species:S:1:pos:R:3 comment="ErTmPdRu (PBE, optimized geometry)" polymorph_energy_mev_per_atom=38 e_form_kcal_per_mol_atoms=-16.43 vol_a3_per_atom=19.800 pbc="T T T"
Er 0.000 0.000 0.000
Er 0.000 3.409 3.409
Er 3.409 0.000 3.409
Er 3.409 3.409 0.000
Tm 0.000 0.000 3.409
Tm 0.000 3.409 0.000
Tm 3.409 0.000 0.000
Tm 3.409 3.409 3.409
Pd 1.704 1.704 5.113
Pd 1.704 5.113 1.704
Pd 5.113 1.704 1.704
Pd 5.113 5.113 5.113
Ru 1.704 1.704 1.704
Ru 1.704 5.113 5.113
Ru 5.113 1.704 5.113
Ru 5.113 5.113 1.704


[8]
12
Lattice="3.198 0.000 0.000 -1.599 2.769 0.000 0.000 0.000 18.587" Properties=species:S:1:pos:R:3 comment="Nb2PH (PBE, optimized geometry)" polymorph_energy_mev_per_atom=271 vol_a3_per_atom=13.716 pbc="T T T"
Nb 0.000 0.000 0.000
Nb 0.000 0.000 2.752
Nb 0.000 1.846 12.392
Nb 0.000 1.846 15.144
Nb 1.599 0.923 6.196
Nb 1.599 0.923 8.948
P 0.000 0.000 10.663
P 0.000 1.846 4.467
P 1.599 0.923 16.859
H 0.000 0.000 7.373
H 0.000 1.846 1.177
H 1.599 0.923 13.568